Record 1
The following is a DFT calculation (PBE-GGA) of ZrTaS4 after structural relaxation.

The structure in extended XYZ format:
```
12
Lattice="7.053 0.000 0.000 0.000 5.796 0.000 -3.462 0.000 6.293" Properties=species:S:1:pos:R:3 pbc="T T T"
Zr 0.000 0.000 0.000
Zr -1.731 2.898 3.147
Ta 3.527 0.000 0.000
Ta 1.795 2.898 3.147
S -1.630 1.382 5.254
S 0.101 1.515 2.107
S 0.103 4.312 4.233
S 1.834 4.381 1.086
S 1.757 1.415 5.207
S 3.488 1.483 2.061
S 3.490 4.280 4.186
S 5.221 4.413 1.039
```

total moment	0.00	μB/cell
electronic total energy	-7.27	eV per atom
symmetry	P2_1/c
mass density	5.17	g/cm³

Record 2
The following is a DFT calculation (PBE-GGA) of Cs2RbNbI6 after structural relaxation.

The structure in extended XYZ format:
```
20
Lattice="8.481 0.000 0.000 0.000 12.663 0.000 0.000 0.000 9.797" Properties=species:S:1:pos:R:3 pbc="T T T"
Cs 2.120 0.434 1.851
Cs 2.120 5.898 1.851
Cs 6.360 6.765 7.946
Cs 6.360 12.229 7.946
Rb 2.120 3.166 6.804
Rb 6.360 9.497 2.993
Nb 2.120 9.497 7.826
Nb 6.360 3.166 1.971
I 0.065 9.497 5.832
I 0.134 9.497 0.119
I 2.120 6.621 7.794
I 2.120 12.374 7.794
I 4.106 9.497 0.119
I 4.176 9.497 5.832
I 4.305 3.166 3.964
I 4.374 3.166 9.678
I 6.360 0.290 2.003
I 6.360 6.042 2.003
I 8.346 3.166 9.678
I 8.416 3.166 3.964
```

total moment	4.00	μB/cell
electronic total energy	-3.25	eV per atom
symmetry	Pmmn
mass density	3.81	g/cm³
energy above the lowest structure with this stoichiometry	0.0	meV/atom

Record 3
The following is a DFT calculation (PBE-GGA) of Ho2SiSb after structural relaxation.

The structure in extended XYZ format:
```
16
Lattice="4.392 0.000 0.000 0.000 22.836 0.000 0.000 0.000 4.040" Properties=species:S:1:pos:R:3 pbc="T T T"
Ho 0.000 1.382 1.010
Ho 0.000 7.452 1.010
Ho 0.000 15.383 3.030
Ho 0.000 21.453 3.030
Ho 2.196 3.966 3.030
Ho 2.196 10.035 3.030
Ho 2.196 12.800 1.010
Ho 2.196 18.870 1.010
Si 0.000 10.571 1.010
Si 0.000 12.264 3.030
Si 2.196 0.846 3.030
Si 2.196 21.989 1.010
Sb 0.000 4.354 1.010
Sb 0.000 18.481 3.030
Sb 2.196 7.063 3.030
Sb 2.196 15.772 1.010
```

total moment	0.00	μB/cell
electronic total energy	-5.55	eV per atom
symmetry	Cmcm
mass density	7.86	g/cm³
energy above the lowest structure with this stoichiometry	0.0	meV/atom

Asked for ΔE_f (raw) across the records above, the calculation gives -1.12; -1.05; -0.87 eV/atom in order.